# TcPCl2 PBE optimized geometry
# Total energy, eV/atom: -4.185
# Volume, Å³/f.u.: 80.0
# E_form (uncorrected), kJ per mole of atoms: 66
# Excess energy over the best structure of this formula in the dataset, meV per atom: 1126.9
data_TcPCl2
_chemical_formula_sum 'Tc1 P1 Cl2'
_symmetry_space_group_name_H-M 'P 1'
_symmetry_Int_Tables_number 1
_cell_length_a 2.930
_cell_length_b 2.931
_cell_length_c 9.322
_cell_angle_alpha 90.00
_cell_angle_beta 90.00
_cell_angle_gamma 90.00
loop_
_symmetry_equiv_pos_as_xyz
'x,y,z'
loop_
_atom_site_label
_atom_site_fract_x
_atom_site_fract_y
_atom_site_fract_z
_atom_site_occupancy
Cl1 0.000 0.000 0.588 1
Tc1 0.500 0.500 0.750 1
P1 0.500 0.500 0.250 1
Cl2 0.000 0.000 0.912 1